# 1
This record from Alexandria describes As2SeBr after structural relaxation. The functional is PBE.

POSCAR file:
```
As2SeBr
1.0
4.507 -1.848 0.000
4.507 1.848 0.000
-3.481 0.000 6.323
As Se Br
2 1 1
Cartesian
0.816 0.000 2.204
4.717 0.000 4.119
-1.740 0.000 3.162
4.507 0.000 0.000
```

Calculated values
* size of the total moment: 0.00 μB/f.u.
* excess energy over the best structure of this formula in the dataset: 0.1556 eV per atom
* space-group type: C2/m
* raw total energy: -3.501 eV per atom
* energy relative to the elements, uncorrected: 113.2 meV per atom
* crystal system: monoclinic


# 2
This record from Alexandria describes CsTbIn2I6 after structural relaxation. The functional is PBE.

POSCAR file:
```
CsTbIn2I6
1.0
8.698 0.000 0.000
-4.346 7.544 0.000
-4.348 -2.508 7.785
Cs Tb In I
1 1 2 6
Cartesian
0.000 0.000 0.000
4.353 2.519 3.566
0.004 0.007 6.913
0.004 5.034 3.363
-1.951 2.840 1.634
-3.094 0.290 5.220
-3.044 4.718 5.220
3.434 0.284 1.634
2.877 4.429 1.630
1.798 2.551 5.221
```

Calculated values
* size of the total moment: 0.00 μB/f.u.
* space-group type: P1
* raw total energy: -3.080 eV per atom
* energy relative to the elements, uncorrected: -1054.0 meV per atom
* crystal system: triclinic